Below is a relaxed structure of BaDySe2O8, with properties calculated at the GGA-PBE level.

Properties
The calculation puts the density of states at the Fermi level at 3.394 states/eV/f.u. The calculation puts the uncorrected energy at -6.089 eV/atom. Its space group is P-3, No. 147.

Lattice parameters (Å, degrees): 5.790 5.790 7.783 90.00 90.00 120.00
Element x y z (fractional)
Ba  0.000  0.000  0.000
Dy  0.000  0.000  0.500
Se  0.667  0.333  0.243
Se  0.333  0.667  0.757
O  0.333  0.667  0.972
O  0.331  0.170  0.304
O  0.830  0.161  0.304
O  0.667  0.333  0.028
O  0.170  0.839  0.696
O  0.669  0.830  0.696
O  0.161  0.331  0.696
O  0.839  0.669  0.304


Below is a relaxed structure of SrPmAgP, with properties calculated at the GGA-PBE level.

Properties
The calculation puts the density of states at the Fermi level at 3.474 states/eV/f.u. The calculation puts the uncorrected energy at -4.200 eV/atom. Its space group is F-43m, No. 216.

Lattice parameters (Å, degrees): 5.236 5.236 5.236 60.00 60.00 60.00
Element x y z (fractional)
Sr  0.500  0.500  0.500
P  0.250  0.250  0.250
Ag  0.750  0.750  0.750
Pm  0.000  0.000  0.000


Below is a relaxed structure of Rb2ZnCdAu, with properties calculated at the GGA-PBE level.

Properties
The calculation puts the density of states at the Fermi level at 3.204 states/eV/f.u. Its offset from the most stable computed form is 0 meV/atom. Its space group is P4/mmm, No. 123.

Lattice parameters (Å, degrees): 6.592 6.592 5.063 90.00 90.00 90.00
Element x y z (fractional)
Zn  0.000  0.000  0.500
Au  0.000  0.000  0.000
Rb  0.000  0.500  0.000
Rb  0.500  0.000  0.000
Cd  0.500  0.500  0.500


Below is a relaxed structure of LaInAs, with properties calculated at the GGA-PBE level.

Properties
The calculation puts the density of states at the Fermi level at 0.308 states/eV/f.u. The calculation puts the uncorrected energy at -4.954 eV/atom. Its space group is R-3m, No. 166.

Lattice parameters (Å, degrees): 5.082 5.082 8.852 73.32 73.32 60.00
Element x y z (fractional)
La  0.598  0.598  0.205
La  0.402  0.402  0.795
As  0.284  0.284  0.149
As  0.716  0.716  0.851
In  0.826  0.826  0.522
In  0.174  0.174  0.478


Below is a relaxed structure of Li2Mg4Tl2Ag, with properties calculated at the GGA-PBE level.

Properties
The calculation puts the density of states at the Fermi level at 2.982 states/eV/f.u. The calculation puts the uncorrected energy at -2.054 eV/atom. Its space group is P-1, No. 2.

Lattice parameters (Å, degrees): 5.795 7.285 7.623 121.05 131.40 80.64
Element x y z (fractional)
Li  0.855  0.386  0.035
Li  0.145  0.614  0.965
Mg  0.618  0.790  0.005
Mg  0.840  0.696  0.488
Mg  0.382  0.210  0.995
Mg  0.160  0.304  0.512
Tl  0.316  0.831  0.494
Tl  0.684  0.169  0.506
Ag  0.000  0.000  0.000


Below is a relaxed structure of CdPb2S2Br2, with properties calculated at the GGA-PBE level.

Properties
The calculation puts the density of states at the Fermi level at 0.254 states/eV/f.u. The calculation puts the uncorrected energy at -3.411 eV/atom. Its space group is I4/mmm, No. 139.

Lattice parameters (Å, degrees): 5.105 5.105 8.573 107.32 107.32 90.00
Element x y z (fractional)
Cd  0.000  0.000  0.000
Pb  0.386  0.386  0.772
Pb  0.614  0.614  0.228
S  0.000  0.500  0.000
S  0.500  0.000  0.000
Br  0.190  0.190  0.381
Br  0.810  0.810  0.619


Below is a relaxed structure of SrLaPt3, with properties calculated at the GGA-PBE level.

Properties
The calculation puts the density of states at the Fermi level at 6.847 states/eV/f.u. Its offset from the most stable computed form is 450 meV/atom. Its space group is Pm-3m, No. 221.

Lattice parameters (Å, degrees): 5.237 5.237 5.237 90.00 90.00 90.00
Element x y z (fractional)
Sr  0.000  0.000  0.000
Pt  0.000  0.500  0.000
Pt  0.000  0.000  0.500
Pt  0.500  0.000  0.000
La  0.500  0.500  0.500


Below is a relaxed structure of Rb3Er2MnS6, with properties calculated at the GGA-PBE level.

Properties
The calculation puts the uncorrected energy at -5.279 eV/atom. Its space group is C2/m, No. 12.

Lattice parameters (Å, degrees): 6.788 6.788 8.023 99.07 99.07 117.97
Element x y z (fractional)
Rb  0.172  0.828  0.500
Rb  0.828  0.172  0.500
Rb  0.500  0.500  0.500
Er  0.337  0.663  0.000
Er  0.663  0.337  0.000
Mn  0.000  0.000  0.000
S  0.941  0.637  0.824
S  0.729  0.729  0.203
S  0.059  0.363  0.176
S  0.637  0.941  0.824
S  0.271  0.271  0.797
S  0.363  0.059  0.176